! Ti7Pb2N2, optimized geometry, DFT PBE-GGA; values from VASP
&SYSTEM
  ibrav = 0, nat = 11, ntyp = 3
/
ATOMIC_SPECIES
N 14.01 N.upf
Ti 47.87 Ti.upf
Pb 207.20 Pb.upf
ATOMIC_POSITIONS crystal
N 0.995 0.742 0.742
N 0.005 0.258 0.258
Ti 0.835 0.500 0.175
Ti 0.165 0.500 0.825
Ti 0.165 0.825 0.500
Ti 0.329 0.356 0.356
Ti 0.000 0.000 0.000
Ti 0.835 0.175 0.500
Ti 0.671 0.644 0.644
Pb 0.500 0.170 0.830
Pb 0.500 0.830 0.170
CELL_PARAMETERS angstrom
-5.427 1.462 -0.856
-1.372 -3.737 4.423
1.225 5.030 2.934
! **SG**: C2/m, No. 12
! **Formation energy from raw total energies**: -331.8 meV/atom
! **N(E_F)**: 12.92 states/eV per cell
! **Calculated total energy**: -82.98 eV for the cell shown



! PmInNi5, optimized geometry, DFT PBE-GGA; values from VASP
&SYSTEM
  ibrav = 0, nat = 28, ntyp = 3
/
ATOMIC_SPECIES
Ni 58.69 Ni.upf
In 114.82 In.upf
Pm 145.00 Pm.upf
ATOMIC_POSITIONS crystal
Ni 0.000 0.933 0.311
Ni 0.250 0.452 0.392
Ni 0.750 0.312 0.758
Ni 0.250 0.952 0.108
Ni 0.750 0.917 0.517
Ni 0.750 0.812 0.742
Ni 0.250 0.583 0.017
Ni 0.000 0.067 0.689
Ni 0.250 0.688 0.242
Ni 0.250 0.188 0.258
Ni 0.000 0.567 0.811
Ni 0.500 0.067 0.689
Ni 0.750 0.417 0.983
Ni 0.500 0.567 0.811
Ni 0.250 0.083 0.483
Ni 0.500 0.433 0.189
Ni 0.750 0.548 0.608
Ni 0.000 0.433 0.189
Ni 0.500 0.933 0.311
Ni 0.750 0.048 0.892
In 0.750 0.139 0.137
In 0.750 0.639 0.363
In 0.250 0.861 0.863
In 0.250 0.361 0.637
Pm 0.250 0.250 0.940
Pm 0.250 0.750 0.560
Pm 0.750 0.750 0.060
Pm 0.750 0.250 0.440
CELL_PARAMETERS angstrom
-0.091 3.021 3.846
0.621 -6.392 5.036
10.334 0.740 -0.336
! **SG**: Pnma, No. 62
! **N(E_F)**: 31.78 states/eV per cell
! **Calculated total energy**: -153.97 eV for the cell shown



! TmMg2Zn, optimized geometry, DFT PBE-GGA; values from VASP
&SYSTEM
  ibrav = 0, nat = 4, ntyp = 3
/
ATOMIC_SPECIES
Mg 24.30 Mg.upf
Tm 168.93 Tm.upf
Zn 65.41 Zn.upf
ATOMIC_POSITIONS crystal
Mg 0.000 0.500 0.000
Mg 0.000 0.000 0.500
Tm 0.500 0.500 0.500
Zn 0.500 0.000 0.000
CELL_PARAMETERS angstrom
4.806 0.000 0.000
0.000 4.312 0.000
0.000 0.000 4.312
! **SG**: P4/mmm, No. 123
! **N(E_F)**: 3.56 states/eV per cell
! **Calculated total energy**: -9.39 eV for the cell shown



! MgZn6Ag6, optimized geometry, DFT PBE-GGA; values from VASP
&SYSTEM
  ibrav = 0, nat = 13, ntyp = 3
/
ATOMIC_SPECIES
Zn 65.41 Zn.upf
Mg 24.30 Mg.upf
Ag 107.87 Ag.upf
ATOMIC_POSITIONS crystal
Zn 0.000 0.000 0.500
Zn 0.500 0.000 0.500
Zn 0.500 0.764 0.236
Zn 0.500 0.236 0.764
Zn 0.000 0.500 0.000
Zn 0.500 0.500 0.000
Mg 0.000 0.000 0.000
Ag 0.000 0.652 0.348
Ag 0.341 0.659 0.659
Ag 0.659 0.341 0.341
Ag 0.000 0.348 0.652
Ag 0.678 0.822 0.822
Ag 0.322 0.178 0.178
CELL_PARAMETERS angstrom
4.795 0.000 1.916
2.398 6.503 0.958
-0.015 -0.156 6.995
! **SG**: Immm, No. 71
! **N(E_F)**: 2.76 states/eV per cell
! **Calculated total energy**: -27.22 eV for the cell shown



! AcClO, optimized geometry, DFT PBE-GGA; values from VASP
&SYSTEM
  ibrav = 0, nat = 18, ntyp = 3
/
ATOMIC_SPECIES
O 16.00 O.upf
Cl 35.45 Cl.upf
Ac 227.00 Ac.upf
ATOMIC_POSITIONS crystal
O 0.984 0.711 0.033
O 0.016 0.289 0.967
O 0.593 0.408 0.814
O 0.796 0.966 0.407
O 0.204 0.034 0.593
O 0.407 0.592 0.186
Cl 0.719 0.354 0.562
Cl 0.416 0.005 0.168
Cl 0.584 0.995 0.832
Cl 0.281 0.646 0.438
Cl 0.857 0.317 0.285
Cl 0.143 0.683 0.715
Ac 0.291 0.147 0.419
Ac 0.875 0.693 0.249
Ac 0.125 0.307 0.751
Ac 0.709 0.853 0.581
Ac 0.500 0.500 0.000
Ac 0.000 0.000 0.000
CELL_PARAMETERS angstrom
-1.028 -1.236 3.848
-2.640 -6.819 -2.896
11.553 -4.471 3.909
! **Energy above the lowest structure with this stoichiometry**: 242 meV per atom
! **SG**: C2/m, No. 12
! **Formation energy from raw total energies**: -2910.9 meV/atom
! **N(E_F)**: 0.00 states/eV per cell
! **Calculated total energy**: -117.88 eV for the cell shown



! P2RhSN, optimized geometry, DFT PBE-GGA; values from VASP
&SYSTEM
  ibrav = 0, nat = 5, ntyp = 4
/
ATOMIC_SPECIES
S 32.06 S.upf
P 30.97 P.upf
Rh 102.91 Rh.upf
N 14.01 N.upf
ATOMIC_POSITIONS crystal
S 0.000 0.000 0.500
P 0.000 0.500 0.000
P 0.500 0.000 0.000
Rh 0.500 0.500 0.500
N 0.000 0.000 0.000
CELL_PARAMETERS angstrom
-1.033 2.655 -2.750
-1.004 -2.937 -2.458
-3.849 0.059 1.503
! **Energy above the lowest structure with this stoichiometry**: 0 meV per atom
! **SG**: P4/mmm, No. 123
! **Formation energy from raw total energies**: 860.4 meV/atom
! **N(E_F)**: 1.96 states/eV per cell
! **Calculated total energy**: -26.32 eV for the cell shown



! Ta2MnPb, optimized geometry, DFT PBE-GGA; values from VASP
&SYSTEM
  ibrav = 0, nat = 4, ntyp = 3
/
ATOMIC_SPECIES
Ta 180.95 Ta.upf
Mn 54.94 Mn.upf
Pb 207.20 Pb.upf
ATOMIC_POSITIONS crystal
Ta 0.000 0.000 0.027
Ta 0.500 0.500 0.259
Mn 0.000 0.000 0.474
Pb 0.500 0.500 0.741
CELL_PARAMETERS angstrom
-3.312 -0.863 -0.456
0.815 -1.557 -2.971
0.974 -5.367 3.080
! **SG**: P4mm, No. 99
! **N(E_F)**: 2.69 states/eV per cell
! **Calculated total energy**: -35.38 eV for the cell shown



! HgMoPd, optimized geometry, DFT PBE-GGA; values from VASP
&SYSTEM
  ibrav = 0, nat = 6, ntyp = 3
/
ATOMIC_SPECIES
Mo 95.94 Mo.upf
Hg 200.59 Hg.upf
Pd 106.42 Pd.upf
ATOMIC_POSITIONS crystal
Mo 0.840 0.321 0.000
Mo 0.160 0.679 0.000
Hg 0.250 0.500 0.500
Hg 0.750 0.500 0.500
Pd 0.390 0.000 0.220
Pd 0.610 0.000 0.780
CELL_PARAMETERS angstrom
-3.776 3.543 1.148
-4.210 -0.024 -1.521
-3.541 -1.489 5.201
! **SG**: Fmmm, No. 69
! **N(E_F)**: 3.21 states/eV per cell
! **Calculated total energy**: -29.70 eV for the cell shown



- calculated total energy of number 8 (HgMoPd)?
  -29.70 eV for the cell shown



- Which of these has the lowest N(E_F)?
  AcClO